Record 1
# Pm5Np3N8 | Alexandria | PBE | optimized geometry
data_Pm5Np3N8
_chemical_formula_sum 'Pm15 Np9 N24'
_symmetry_space_group_name_H-M 'R -3 m'
_symmetry_Int_Tables_number 166
_symmetry_space_group_name_Hall '-R 3 2"'
_cell_length_a 7.0653
_cell_length_b 7.0653
_cell_length_c 17.3768
_cell_angle_alpha 90.00
_cell_angle_beta 90.00
_cell_angle_gamma 120.00
loop_
_atom_site_label
_atom_site_type_symbol
_atom_site_fract_x
_atom_site_fract_y
_atom_site_fract_z
Pm1 Pm 0.0000 0.0000 0.0000
Pm2 Pm 0.0000 0.0000 0.5000
Pm3 Pm 0.0000 0.5000 0.0000
Np1 Np 0.0000 0.5000 0.5000
N1 N 0.0000 0.0000 0.2415
N2 N 0.0162 0.5081 0.7583
# E_form (uncorrected), eV/atom: -1.329

=====

Record 2
# Sc2AlAg | Alexandria | PBE | optimized geometry
data_Sc2AlAg
_chemical_formula_sum 'Sc4 Al2 Ag2'
_symmetry_space_group_name_H-M 'C 1 2/m 1'
_symmetry_Int_Tables_number 12
_cell_length_a 9.3828
_cell_length_b 3.2299
_cell_length_c 5.6624
_cell_angle_alpha 90.00
_cell_angle_beta 101.55
_cell_angle_gamma 90.00
loop_
_symmetry_equiv_pos_as_xyz
'x,y,z'
'-x,-y,-z'
'-x,y,-z'
'x,-y,z'
'x+1/2,y+1/2,z'
'-x+1/2,-y+1/2,-z'
'-x+1/2,y+1/2,-z'
'x+1/2,-y+1/2,z'
loop_
_atom_site_label
_atom_site_type_symbol
_atom_site_fract_x
_atom_site_fract_y
_atom_site_fract_z
Sc1 Sc 0.2494 0.0000 0.2405
Al1 Al 0.0000 0.5000 0.0000
Ag1 Ag 0.0000 0.0000 0.5000
# Formation enthalpy at 0 K, meV per atom: -139

=====

Record 3
# NpReSb2 | Alexandria | PBE | optimized geometry
data_NpReSb2
_chemical_formula_sum 'Np3 Re3 Sb6'
_symmetry_space_group_name_H-M 'R -3 m'
_symmetry_Int_Tables_number 166
_symmetry_space_group_name_Hall '-R 3 2"'
_cell_length_a 3.0801
_cell_length_b 3.0801
_cell_length_c 32.0540
_cell_angle_alpha 90.00
_cell_angle_beta 90.00
_cell_angle_gamma 120.00
loop_
_atom_site_label
_atom_site_type_symbol
_atom_site_fract_x
_atom_site_fract_y
_atom_site_fract_z
Np1 Np 0.0000 0.0000 0.0000
Re1 Re 0.0000 0.0000 0.5000
Sb1 Sb 0.0000 0.0000 0.4169
# E_form (uncorrected), eV/atom: 0.703

=====

Record 4
# GdZr2Nb | Alexandria | PBE | optimized geometry
data_GdZr2Nb
_chemical_formula_sum 'Gd1 Zr2 Nb1'
_symmetry_space_group_name_H-M 'P 4/m m m'
_symmetry_Int_Tables_number 123
_symmetry_space_group_name_Hall '-P 4 2'
_cell_length_a 3.5642
_cell_length_b 3.5642
_cell_length_c 7.5435
_cell_angle_alpha 90.00
_cell_angle_beta 90.00
_cell_angle_gamma 90.00
loop_
_atom_site_label
_atom_site_type_symbol
_atom_site_fract_x
_atom_site_fract_y
_atom_site_fract_z
Gd1 Gd 0.0000 0.0000 0.0000
Zr1 Zr 0.5000 0.5000 0.2961
Nb1 Nb 0.0000 0.0000 0.5000
# ΔE to the lowest computed polymorph, eV per formula unit: 0.00
# Formation enthalpy at 0 K, meV per atom: 99

=====

Record 5
# CSe2F | Alexandria | PBE | optimized geometry
data_CSe2F
_chemical_formula_sum 'C3 Se6 F3'
_symmetry_space_group_name_H-M 'R -3 m'
_symmetry_Int_Tables_number 166
_symmetry_space_group_name_Hall '-R 3 2"'
_cell_length_a 3.5738
_cell_length_b 3.5738
_cell_length_c 21.3168
_cell_angle_alpha 90.00
_cell_angle_beta 90.00
_cell_angle_gamma 120.00
loop_
_atom_site_label
_atom_site_type_symbol
_atom_site_fract_x
_atom_site_fract_y
_atom_site_fract_z
C1 C 0.0000 0.0000 0.0000
Se1 Se 0.0000 0.0000 0.0808
F1 F 0.0000 0.0000 0.5000
# ΔE to the lowest computed polymorph, eV per formula unit: 0.00
# E_form (uncorrected), eV/atom: 0.262

=====

Record 6
# Ac2La8Er3 | Alexandria | PBE | optimized geometry
data_Ac2La8Er3
_chemical_formula_sum 'Ac4 La16 Er6'
_symmetry_space_group_name_H-M 'C 1 2/m 1'
_symmetry_Int_Tables_number 12
_cell_length_a 13.7931
_cell_length_b 12.0423
_cell_length_c 6.3042
_cell_angle_alpha 90.00
_cell_angle_beta 112.95
_cell_angle_gamma 90.00
loop_
_symmetry_equiv_pos_as_xyz
'x,y,z'
'-x,-y,-z'
'-x,y,-z'
'x,-y,z'
'x+1/2,y+1/2,z'
'-x+1/2,-y+1/2,-z'
'-x+1/2,y+1/2,-z'
'x+1/2,-y+1/2,z'
loop_
_atom_site_label
_atom_site_type_symbol
_atom_site_fract_x
_atom_site_fract_y
_atom_site_fract_z
Ac1 Ac 0.1909 0.0000 0.3241
La1 La 0.0802 0.0000 0.7405
La2 La 0.1367 0.5000 0.1027
La3 La 0.1561 0.2552 0.6501
Er1 Er 0.0000 0.2373 0.0000
Er2 Er 0.0000 0.5000 0.5000
# Formation enthalpy at 0 K, meV per atom: 161

=====

Record 7
# Dy7ErSc3 | Alexandria | PBE | optimized geometry
data_Dy7ErSc3
_chemical_formula_sum 'Dy28 Er4 Sc12'
_symmetry_space_group_name_H-M 'C 1 2/m 1'
_symmetry_Int_Tables_number 12
_cell_length_a 6.7362
_cell_length_b 17.9229
_cell_length_c 10.9331
_cell_angle_alpha 90.00
_cell_angle_beta 90.44
_cell_angle_gamma 90.00
loop_
_symmetry_equiv_pos_as_xyz
'x,y,z'
'-x,-y,-z'
'-x,y,-z'
'x,-y,z'
'x+1/2,y+1/2,z'
'-x+1/2,-y+1/2,-z'
'-x+1/2,y+1/2,-z'
'x+1/2,-y+1/2,z'
loop_
_atom_site_label
_atom_site_type_symbol
_atom_site_fract_x
_atom_site_fract_y
_atom_site_fract_z
Dy1 Dy 0.2438 0.0000 0.2495
Dy2 Dy 0.2452 0.4095 0.2500
Dy3 Dy 0.2479 0.3376 0.5365
Dy4 Dy 0.2494 0.1625 0.0367
Er1 Er 0.0000 0.0000 0.5000
Er2 Er 0.0000 0.5000 0.0000
Sc1 Sc 0.0000 0.0000 0.0000
Sc2 Sc 0.0000 0.5000 0.5000
Sc3 Sc 0.0015 0.2486 0.7497
# ΔE to the lowest computed polymorph, eV per formula unit: 0.00
# Formation enthalpy at 0 K, meV per atom: 152

=====

Record 8
# Nd3ScSn5 | Alexandria | PBE | optimized geometry
data_Nd3ScSn5
_chemical_formula_sum 'Nd6 Sc2 Sn10'
_symmetry_space_group_name_H-M 'P 63/m c m'
_symmetry_Int_Tables_number 193
_symmetry_space_group_name_Hall '-P 6c 2'
_cell_length_a 9.4594
_cell_length_b 9.4594
_cell_length_c 6.3891
_cell_angle_alpha 90.00
_cell_angle_beta 90.00
_cell_angle_gamma 120.00
loop_
_atom_site_label
_atom_site_type_symbol
_atom_site_fract_x
_atom_site_fract_y
_atom_site_fract_z
Nd1 Nd 0.0000 0.3853 0.2500
Sc1 Sc 0.0000 0.0000 0.0000
Sn1 Sn 0.0000 0.2718 0.7500
Sn2 Sn 0.3333 0.6667 0.0000
# Formation enthalpy at 0 K, meV per atom: -651

=====

Record 9
# BHPb | Alexandria | PBE | optimized geometry
data_BHPb
_chemical_formula_sum 'B2 H2 Pb2'
_symmetry_space_group_name_H-M 'P 1 21/m 1'
_symmetry_Int_Tables_number 11
_cell_length_a 5.8669
_cell_length_b 3.1821
_cell_length_c 6.2458
_cell_angle_alpha 90.00
_cell_angle_beta 117.31
_cell_angle_gamma 90.00
loop_
_symmetry_equiv_pos_as_xyz
'x,y,z'
'-x,-y,-z'
'-x,y+1/2,-z'
'x,-y+1/2,z'
loop_
_atom_site_label
_atom_site_type_symbol
_atom_site_fract_x
_atom_site_fract_y
_atom_site_fract_z
B1 B 0.0506 0.2500 0.0651
H1 H 0.2415 0.2500 0.2629
Pb1 Pb 0.2313 0.2500 0.7698
# ΔE to the lowest computed polymorph, eV per formula unit: 0.02

=====

Record 10
# Dy2PuSn | Alexandria | PBE | optimized geometry
data_Dy2PuSn
_chemical_formula_sum 'Dy6 Pu3 Sn3'
_symmetry_space_group_name_H-M 'R -3 m'
_symmetry_Int_Tables_number 166
_symmetry_space_group_name_Hall '-R 3 2"'
_cell_length_a 3.4925
_cell_length_b 3.4925
_cell_length_c 32.4718
_cell_angle_alpha 90.00
_cell_angle_beta 90.00
_cell_angle_gamma 120.00
loop_
_atom_site_label
_atom_site_type_symbol
_atom_site_fract_x
_atom_site_fract_y
_atom_site_fract_z
Dy1 Dy 0.0000 0.0000 0.2468
Pu1 Pu 0.0000 0.0000 0.0000
Sn1 Sn 0.0000 0.0000 0.5000
# ΔE to the lowest computed polymorph, eV per formula unit: 0.71
# Formation enthalpy at 0 K, meV per atom: -140

=====

Record 11
# Mg2SbPb | Alexandria | PBE | optimized geometry
data_Mg2SbPb
_chemical_formula_sum 'Mg8 Sb4 Pb4'
_symmetry_space_group_name_H-M 'F m -3 m'
_symmetry_Int_Tables_number 225
_symmetry_space_group_name_Hall '-F 4 2 3'
_cell_length_a 7.4045
_cell_length_b 7.4045
_cell_length_c 7.4045
_cell_angle_alpha 90.00
_cell_angle_beta 90.00
_cell_angle_gamma 90.00
loop_
_atom_site_label
_atom_site_type_symbol
_atom_site_fract_x
_atom_site_fract_y
_atom_site_fract_z
Mg1 Mg 0.2500 0.2500 0.2500
Sb1 Sb 0.0000 0.0000 0.0000
Pb1 Pb 0.0000 0.0000 0.5000
# ΔE to the lowest computed polymorph, eV per formula unit: 0.26
# E_form (uncorrected), eV/atom: -0.064

=====

Record 12
# BaTePt2 | Alexandria | PBE | optimized geometry
data_BaTePt2
_chemical_formula_sum 'Ba2 Te2 Pt4'
_symmetry_space_group_name_H-M 'I -4 m 2'
_symmetry_Int_Tables_number 119
_symmetry_space_group_name_Hall 'I -4 -2'
_cell_length_a 4.3560
_cell_length_b 4.3560
_cell_length_c 10.2922
_cell_angle_alpha 90.00
_cell_angle_beta 90.00
_cell_angle_gamma 90.00
loop_
_atom_site_label
_atom_site_type_symbol
_atom_site_fract_x
_atom_site_fract_y
_atom_site_fract_z
Ba1 Ba 0.0000 0.0000 0.0000
Te1 Te 0.0000 0.5000 0.2500
Pt1 Pt 0.0000 0.0000 0.5000
Pt2 Pt 0.0000 0.5000 0.7500
# E_form (uncorrected), eV/atom: -0.148

=====

| no. | size of the total moment (μB/f.u.) | ρ (Mg/m³) |
| --- | --- | --- |
| 1 | 8.98 | 10.27 |
| 2 | 0.00 | 4.44 |
| 3 | 2.96 | 12.61 |
| 4 | 7.76 | 7.50 |
| 5 | 0.00 | 3.99 |
| 6 | 0.00 | 7.12 |
| 7 | 0.01 | 7.24 |
| 8 | 0.00 | 7.19 |
| 9 | 0.00 | 7.02 |
| 10 | 6.11 | 9.99 |
| 11 | 0.00 | 6.18 |
| 12 | 0.00 | 11.14 |